(1)
Rb2NiI4 | PBE-GGA | optimized geometry

Cell: 7.625 7.625 8.228 Å, 122.62 122.62 80.60°
Last column: magnetic moment on the atom in μB.
Fractional positions:
I 0.219 0.219 0.000  0.00
I 0.219 0.219 0.438  0.00
I 0.781 0.781 0.562  0.00
I 0.781 0.781 0.000  0.00
Rb 0.750 0.250 0.500  0.00
Rb 0.250 0.750 0.500  0.00
Ni 0.000 0.000 0.000  0.15

size of the total moment = 0.1 μB per cell
calculated density = 3.7 g/cm³
total energy = -19.9 eV per formula unit
space-group type = I4/mmm (139)
energy relative to the elements, uncorrected = -0.86 eV/atom

---

(2)
HfWSe2N | PBE-GGA | optimized geometry

Cell: 5.075 5.075 3.762 Å, 90.00 90.00 90.00°
Last column: magnetic moment on the atom in μB.
Fractional positions:
Hf 0.500 0.500 0.500  0.00
Se 0.500 0.000 0.000  0.00
Se 0.000 0.500 0.000  0.00
N 0.000 0.000 0.500  -0.01
W 0.000 0.000 0.000  0.08

size of the total moment = 0.1 μB per cell
calculated density = 9.2 g/cm³
total energy = -37.4 eV per formula unit
space-group type = P4/mmm (123)
energy relative to the lowest polymorph listed for this composition = 0.00 eV/f.u.
energy relative to the elements, uncorrected = 0.16 eV/atom

---

(3)
Pr2NdAl6 | PBE-GGA | optimized geometry

Cell: 3.833 7.951 7.951 Å, 120.00 90.00 90.00°
Fractional positions:
Al 0.500 0.000 0.333
Al 0.500 0.000 0.667
Al 0.500 0.333 0.333
Al 0.500 0.667 0.000
Al 0.500 0.667 0.667
Al 0.500 0.333 0.000
Pr 0.000 0.333 0.667
Pr 0.000 0.667 0.333
Nd 0.000 0.000 0.000

size of the total moment = 0.0 μB per cell
DFT formation energy = -4.23 eV/f.u.
calculated density = 4.7 g/cm³
total energy = -41.0 eV per formula unit
space-group type = P6/mmm (191)
energy relative to the lowest polymorph listed for this composition = 0.00 eV/f.u.

---

(4)
GdTm2Tl | PBE-GGA | optimized geometry

Cell: 3.524 3.524 11.148 Å, 80.91 80.91 60.00°
Last column: magnetic moment on the atom in μB.
Fractional positions:
Gd 0.500 0.500 0.500  7.13
Tm 0.254 0.254 0.238  -0.05
Tm 0.746 0.746 0.762  -0.05
Tl 0.000 0.000 0.000  0.00

size of the total moment = 7.2 μB per cell
DFT formation energy = -0.40 eV/f.u.
calculated density = 9.9 g/cm³
total energy = -25.8 eV per formula unit
space-group type = R-3m (166)
energy relative to the lowest polymorph listed for this composition = 0.34 eV/f.u.

---

(5)
Sc3Se | PBE-GGA | optimized geometry

Cell: 3.609 5.805 8.573 Å, 90.00 90.00 108.11°
Fractional positions:
Sc 0.137 0.274 0.544
Sc 0.863 0.726 0.044
Sc 0.437 0.874 0.750
Sc 0.137 0.274 0.956
Sc 0.863 0.726 0.456
Sc 0.563 0.126 0.250
Se 0.260 0.520 0.250
Se 0.740 0.480 0.750

size of the total moment = 0.0 μB per cell
calculated density = 4.2 g/cm³
total energy = -25.7 eV per formula unit
space-group type = Cmcm (63)
energy relative to the lowest polymorph listed for this composition = 0.00 eV/f.u.
energy relative to the elements, uncorrected = -0.80 eV/atom

---

(6)
Sc3Zn9Au2 | PBE-GGA | optimized geometry

Cell: 4.259 7.850 7.850 Å, 77.16 74.26 74.26°
Fractional positions:
Zn 0.356 0.269 0.020
Zn 0.000 0.500 0.500
Zn 0.852 0.419 0.877
Zn 0.148 0.581 0.123
Zn 0.356 0.020 0.269
Zn 0.644 0.980 0.731
Zn 0.148 0.123 0.581
Zn 0.644 0.731 0.980
Zn 0.852 0.877 0.419
Sc 0.712 0.288 0.288
Sc 0.000 0.000 0.000
Sc 0.288 0.712 0.712
Au 0.500 0.664 0.336
Au 0.500 0.336 0.664

size of the total moment = 0.0 μB per cell
DFT formation energy = -4.65 eV/f.u.
calculated density = 7.7 g/cm³
total energy = -41.7 eV per formula unit
space-group type = Immm (71)

---

(7)
BiSbPbAu2 | PBE-GGA | optimized geometry

Cell: 4.592 9.717 6.908 Å, 74.61 70.59 76.33°
Fractional positions:
Bi 0.133 0.984 0.751
Bi 0.867 0.016 0.249
Au 0.614 0.160 0.611
Au 0.767 0.335 0.131
Au 0.386 0.840 0.389
Au 0.233 0.665 0.869
Sb 0.381 0.356 0.883
Sb 0.619 0.644 0.117
Pb 0.887 0.651 0.575
Pb 0.113 0.349 0.425

size of the total moment = 0.0 μB per cell
calculated density = 11.2 g/cm³
total energy = -18.5 eV per formula unit
space-group type = C2/m (12)
energy relative to the elements, uncorrected = -0.04 eV/atom

---

(8)
Nd3Cd3Rh | PBE-GGA | optimized geometry

Cell: 10.251 10.251 10.251 Å, 60.00 60.00 60.00°
Fractional positions:
Nd 0.043 0.457 0.457
Nd 0.457 0.043 0.043
Nd 0.043 0.457 0.043
Nd 0.457 0.457 0.043
Nd 0.457 0.043 0.457
Nd 0.793 0.207 0.207
Nd 0.207 0.793 0.793
Nd 0.793 0.793 0.207
Nd 0.207 0.793 0.207
Nd 0.043 0.043 0.457
Nd 0.793 0.207 0.793
Nd 0.207 0.207 0.793
Rh 0.125 0.125 0.125
Rh 0.625 0.125 0.125
Rh 0.125 0.625 0.125
Rh 0.125 0.125 0.625
Cd 0.625 0.625 0.625
Cd 0.507 0.831 0.831
Cd 0.625 0.125 0.625
Cd 0.625 0.625 0.125
Cd 0.743 0.419 0.419
Cd 0.419 0.419 0.743
Cd 0.125 0.625 0.625
Cd 0.831 0.831 0.507
Cd 0.831 0.507 0.831
Cd 0.419 0.743 0.419
Cd 0.419 0.419 0.419
Cd 0.831 0.831 0.831

size of the total moment = 0.0 μB per cell
DFT formation energy = -2.94 eV/f.u.
calculated density = 7.6 g/cm³
total energy = -27.3 eV per formula unit
space-group type = Fd-3m (227)